# 1
LiOsRh | PBE | relaxed

```
3
Lattice="-1.3376 1.9239 3.8910 1.3376 -1.9239 3.8910 1.3376 1.9239 -3.8910" Properties=species:S:1:pos:R:3 pbc="T T T"
Li 0.0000 0.0000 0.0000
Os 0.0000 0.0000 5.2268
Rh 0.0000 0.0000 2.5746
```

Output
The value obtained for the electronic total energy is -6.691 eV/atom. For the formation energy from the elements, the calculation gives 0.14 eV/atom. The total magnetic moment is 0.000 Bohr magnetons per cell.



# 2
TbPm2TlO | PBE | relaxed

```
5
Lattice="4.9553 0.0000 0.0000 0.0000 4.9553 0.0000 0.0000 0.0000 4.7979" Properties=species:S:1:pos:R:3 pbc="T T T"
Tb 0.0000 0.0000 0.0000
Pm 0.0000 2.4777 2.3989
Pm 2.4777 0.0000 2.3989
Tl 2.4777 2.4777 0.0000
O 0.0000 0.0000 2.3989
```

Output
The value obtained for the electronic total energy is -5.652 eV/atom. The formation energy from raw total energies is -1.3610 eV per atom. The total magnetic moment is 0.000 Bohr magnetons per cell.



Q: Which value of total magnetic moment does entry 2 give?
A: 0.000 Bohr magnetons per cell



Q: electronic total energy of number 2 (TbPm2TlO)?
A: -5.652 eV/atom



Q: Look up the electronic total energy of the first one.
A: -6.691 eV/atom